Record 1
A plane-wave DFT calculation with PBE-GGA was carried out for crystalline BaNbSn2As at its relaxed geometry.

Lattice parameters (Å, degrees): 6.0020 6.0020 5.3904 90.00 90.00 90.00
With the nearest neighbours (Å) after each atom.
Fractional positions:
Ba  0.0000  0.0000  0.0000  2 Nb 2.70, 4 Sn 3.00
Nb  0.0000  0.0000  0.5000  2 Ba 2.70
Sn  0.0000  0.5000  0.0000  2 Ba 3.00
Sn  0.5000  0.0000  0.0000  2 Ba 3.00
As  0.5000  0.5000  0.5000  8 Sn 4.03, 4 Nb 4.24

Properties
For the formation energy, the calculation gives 915 kJ/mol of formula units. The uncorrected energy is -15.17 eV/cell.

***

Record 2
A plane-wave DFT calculation with PBE-GGA was carried out for crystalline BaNbTe2As at its relaxed geometry.

Lattice parameters (Å, degrees): 5.8234 5.8234 4.9161 90.00 90.00 90.00
With the nearest neighbours (Å) after each atom.
Fractional positions:
Ba  0.0000  0.0000  0.0000  8 Te 3.81, 4 Nb 4.12
Nb  0.5000  0.5000  0.0000  2 As 2.46
Te  0.0000  0.5000  0.5000  2 As 2.91
Te  0.5000  0.0000  0.5000  2 As 2.91
As  0.5000  0.5000  0.5000  2 Nb 2.46

Properties
The uncorrected energy is -23.26 eV/cell.

***

Record 3
A plane-wave DFT calculation with PBE-GGA was carried out for crystalline BaNdNi2As2 at its relaxed geometry.

Lattice parameters (Å, degrees): 4.1550 4.1550 8.8764 90.00 90.00 120.00
With the nearest neighbours (Å) after each atom.
Fractional positions:
Ba  0.0000  0.0000  0.0000  6 As 3.42, 6 Ni 3.43
Nd  0.0000  0.0000  0.5000  6 Ni 3.11, 6 As 3.13
Ni  0.3333  0.6667  0.7231  3 As 2.40
Ni  0.6667  0.3333  0.2769  3 As 2.40
As  0.3333  0.6667  0.2741  3 Ni 2.40
As  0.6667  0.3333  0.7259  3 Ni 2.40

Properties
For the formation energy, the calculation gives -512 kJ/mol of formula units. The uncorrected energy is -32.86 eV/cell.

***

Record 4
A plane-wave DFT calculation with PBE-GGA was carried out for crystalline BaNdAs2O8 at its relaxed geometry.

Lattice parameters (Å, degrees): 5.7737 5.7737 7.9134 90.00 90.00 120.00
With the nearest neighbours (Å) after each atom.
Fractional positions:
Ba  0.0000  0.0000  0.0000  6 O 2.90
Nd  0.0000  0.0000  0.5000  6 O 2.34
As  0.3333  0.6667  0.7711  4 O 1.71-1.72
As  0.6667  0.3333  0.2289  4 O 1.71-1.72
O  0.1707  0.3414  0.7031  1 As 1.71
O  0.1707  0.8293  0.7031  1 As 1.71
O  0.3333  0.6667  0.9889  1 As 1.72
O  0.3414  0.1707  0.2969  1 As 1.71
O  0.6586  0.8293  0.7031  1 As 1.71
O  0.6667  0.3333  0.0111  1 As 1.72
O  0.8293  0.1707  0.2969  1 As 1.71
O  0.8293  0.6586  0.2969  1 As 1.71

Properties
The uncorrected energy is -79.22 eV/cell.

***

Record 5
A plane-wave DFT calculation with PBE-GGA was carried out for crystalline Ba2NdAs2O6 at its relaxed geometry.

Lattice parameters (Å, degrees): 7.3657 7.3657 7.3657 45.98 45.98 45.98
With the nearest neighbours (Å) after each atom.
Fractional positions:
Ba  0.2080  0.2080  0.2080  9 O 2.88-2.96
Ba  0.7920  0.7920  0.7920  9 O 2.88-2.96
Nd  0.0000  0.0000  0.0000  6 O 2.47
As  0.3817  0.3817  0.3817  3 O 1.82
As  0.6183  0.6183  0.6183  3 O 1.82
O  0.2521  0.7383  0.7383  1 As 1.82
O  0.2617  0.2616  0.7479  1 As 1.82
O  0.2617  0.7479  0.2617  1 As 1.82
O  0.7383  0.2521  0.7383  1 As 1.82
O  0.7383  0.7383  0.2521  1 As 1.82
O  0.7479  0.2616  0.2616  1 As 1.82

Properties
The uncorrected energy is -71.67 eV/cell.

***

Record 6
A plane-wave DFT calculation with PBE-GGA was carried out for crystalline Ba3NdPa2As6 at its relaxed geometry.

Lattice parameters (Å, degrees): 7.5348 7.5348 7.9028 99.14 99.14 119.98
With the nearest neighbours (Å) after each atom.
Fractional positions:
Ba  0.0000  0.0000  0.0000  6 As 3.27-3.39
Ba  0.3369  0.6631  0.0000  6 As 3.29-3.39
Ba  0.6631  0.3369  0.0000  6 As 3.29-3.39
Nd  0.5000  0.5000  0.5000  6 As 3.04
Pa  0.1672  0.8328  0.5000  6 As 2.90
Pa  0.8328  0.1672  0.5000  6 As 2.90
As  0.0828  0.4313  0.2945  2 Pa 2.90, 1 Nd 3.04
As  0.2192  0.2192  0.7035  2 Pa 2.90, 1 Nd 3.04
As  0.4313  0.0828  0.2945  2 Pa 2.90, 1 Nd 3.04
As  0.5687  0.9172  0.7055  2 Pa 2.90, 1 Nd 3.04
As  0.7808  0.7808  0.2965  2 Pa 2.90, 1 Nd 3.04
As  0.9172  0.5687  0.7055  2 Pa 2.90, 1 Nd 3.04

Properties
For the formation energy, the calculation gives -1386 kJ/mol of formula units. The uncorrected energy is -71.79 eV/cell.